(1)
# Ca2TaRh2 (GGA-PBE, relaxed)
# Calculated formation energy ... -0.229 eV per atom
# DFT total energy ... -6.34 eV per atom
# DOS at the Fermi energy ... 5.0 states/eV/f.u.
data_Ca2TaRh2
_symmetry_space_group_name_H-M 'P 4/m b m'
_symmetry_Int_Tables_number 127
_symmetry_space_group_name_Hall '-P 4 2ab'
_cell_length_a 6.6836
_cell_length_b 6.6836
_cell_length_c 4.8210
_cell_angle_alpha 90.00
_cell_angle_beta 90.00
_cell_angle_gamma 90.00
loop_
_atom_site_label
_atom_site_fract_x
_atom_site_fract_y
_atom_site_fract_z
Ca1 0.1761 0.3239 0.0000
Ta1 0.0000 0.0000 0.5000
Rh1 0.1374 0.6374 0.5000

---

(2)
# TaMo (GGA-PBE, relaxed)
# Calculated formation energy ... -0.102 eV per atom
# DFT total energy ... -11.44 eV per atom
# DOS at the Fermi energy ... 1.7 states/eV/f.u.
data_TaMo
_symmetry_space_group_name_H-M 'P 42/m m c'
_symmetry_Int_Tables_number 131
_symmetry_space_group_name_Hall '-P 4c 2'
_cell_length_a 4.5712
_cell_length_b 4.5712
_cell_length_c 6.4567
_cell_angle_alpha 90.00
_cell_angle_beta 90.00
_cell_angle_gamma 90.00
loop_
_atom_site_label
_atom_site_fract_x
_atom_site_fract_y
_atom_site_fract_z
Ta1 0.0000 0.0000 0.2500
Ta2 0.0000 0.5000 0.0000
Mo1 0.0000 0.5000 0.5000
Mo2 0.5000 0.5000 0.2500